Record 1
Below is crystalline Li3OF at its relaxed geometry, with properties calculated at the PBE level.

Output
total moment: 0.00 μB per formula unit
E: -23.268 eV per formula unit

Cell: 3.0382 4.8633 4.8633 Å, 109.59 90.00 90.00°
Closest atoms and distances in Å follow each position.
Atoms (fractional coordinates):
Li1 0.5000 0.2680 0.3382  1 F 1.88, 2 O 1.90
Li2 0.0000 0.2008 0.7992  1 O 1.84, 2 F 1.86
Li3 0.5000 0.6618 0.7320  1 F 1.88, 2 O 1.90
O1 0.0000 0.4318 0.5682  5 Li 1.84-1.90
F1 0.5000 0.0656 0.9344  4 Li 1.86-1.88

Record 2
Below is crystalline LiOF2 at its relaxed geometry, with properties calculated at the PBE level.

Output
total moment: 1.00 μB per formula unit
E: -14.800 eV per formula unit

Cell: 5.7495 5.7495 5.7495 Å, 30.11 30.11 30.11°
Closest atoms and distances in Å follow each position.
Atoms (fractional coordinates):
F1 0.1040 0.1040 0.1040  1 O 1.71
F2 0.8960 0.8960 0.8960  1 O 1.71
Li1 0.5000 0.5000 0.5000  6 F 2.01
O1 0.0000 0.0000 0.0000  2 F 1.71

Record 3
Below is crystalline LiOF2 at its relaxed geometry, with properties calculated at the PBE level.

Output
total moment: 3.00 μB per formula unit
E: -13.632 eV per formula unit

Cell: 3.8033 3.8033 3.8033 Å, 60.00 60.00 60.00°
Closest atoms and distances in Å follow each position.
Atoms (fractional coordinates):
F1 0.2500 0.2500 0.2500  4 O 2.33, 4 Li 2.33
F2 0.7500 0.7500 0.7500  4 Li 2.33, 4 O 2.33
Li1 0.0000 0.0000 0.0000  8 F 2.33
O1 0.5000 0.5000 0.5000  8 F 2.33

Record 4
Below is crystalline LiO2F at its relaxed geometry, with properties calculated at the PBE level.

Output
total moment: 0.00 μB per formula unit
E: -17.162 eV per formula unit

Cell: 2.7181 2.7181 12.5282 Å, 83.77 83.77 90.00°
Closest atoms and distances in Å follow each position.
Atoms (fractional coordinates):
O1 0.3750 0.4928 0.7500  2 O 1.54
O2 0.5072 0.1250 0.2500  2 O 1.54
O3 0.8750 0.7572 0.7500  2 O 1.54
O4 0.2428 0.6250 0.2500  2 O 1.54
Li1 0.5000 0.5000 0.0000  4 F 1.92
Li2 0.2500 0.7500 0.5000  4 F 1.92
F1 0.0000 0.0000 0.0000  4 Li 1.92
F2 0.7500 0.2500 0.5000  4 Li 1.92

Record 5
Below is crystalline Li5OF4 at its relaxed geometry, with properties calculated at the PBE level.

Output
total moment: 1.00 μB per formula unit
E: -47.100 eV per formula unit

Cell: 4.1818 5.0275 5.0275 Å, 80.04 65.42 65.42°
Closest atoms and distances in Å follow each position.
Atoms (fractional coordinates):
Li1 0.3009 0.8003 0.6001  5 F 2.02-2.09, 1 O 2.04
Li2 0.1012 0.6001 0.1997  5 F 2.02-2.09, 1 O 2.04
Li3 0.9010 0.3999 0.8003  5 F 2.02-2.09, 1 O 2.04
Li4 0.7013 0.1997 0.3999  5 F 2.02-2.09, 1 O 2.04
Li5 0.5010 0.0000 0.0000  4 F 2.01, 2 O 2.09
F1 0.4074 0.3896 0.7976  6 Li 2.01-2.09
F2 0.7970 0.7976 0.6104  6 Li 2.01-2.09
F3 0.2050 0.2024 0.3896  6 Li 2.01-2.09
F4 0.5946 0.6104 0.2024  6 Li 2.01-2.09
O1 0.0010 0.0000 0.0000  6 Li 2.04-2.09

Record 6
Below is crystalline LiO2F at its relaxed geometry, with properties calculated at the PBE level.

Output
total moment: 4.00 μB per formula unit
E: -13.115 eV per formula unit

Cell: 3.8523 3.8523 3.8523 Å, 60.00 60.00 60.00°
Closest atoms and distances in Å follow each position.
Atoms (fractional coordinates):
O1 0.7500 0.7500 0.7500  4 F 2.36, 4 Li 2.36
O2 0.2500 0.2500 0.2500  4 F 2.36, 4 Li 2.36
F1 0.5000 0.5000 0.5000  8 O 2.36
Li1 0.0000 0.0000 0.0000  8 O 2.36

Record 7
Below is crystalline Li5O2F at its relaxed geometry, with properties calculated at the PBE level.

Output
total moment: 0.00 μB per formula unit
E: -36.769 eV per formula unit

Cell: 3.0431 4.8952 5.8185 Å, 114.88 105.16 90.00°
Closest atoms and distances in Å follow each position.
Atoms (fractional coordinates):
Li1 0.3350 0.5890 0.6699  3 O 1.97
Li2 0.0000 0.5000 0.0000  2 O 1.83
Li3 0.6650 0.4110 0.3301  3 O 1.97
Li4 0.3350 0.0809 0.6699  3 O 1.97
Li5 0.6650 0.9191 0.3301  3 O 1.97
F1 0.0000 0.0000 0.0000  10 Li 2.45-2.56
O1 0.1808 0.6808 0.3616  7 Li 1.83-1.97
O2 0.8192 0.3192 0.6384  7 Li 1.83-1.97

Record 8
Below is crystalline Li3OF at its relaxed geometry, with properties calculated at the PBE level.

Output
total moment: 0.03 μB per formula unit
E: -23.185 eV per formula unit

Cell: 6.5931 6.5931 6.5931 Å, 60.00 60.00 60.00°
Closest atoms and distances in Å follow each position.
Atoms (fractional coordinates):
F1 0.1250 0.1250 0.1250  6 Li 2.19
F2 0.1250 0.1250 0.6250  6 Li 2.19
F3 0.6250 0.1250 0.1250  6 Li 2.19
F4 0.1250 0.6250 0.1250  6 Li 2.19
Li1 0.7205 0.2795 0.2795  2 O 1.87
Li2 0.2795 0.7205 0.7205  2 O 1.87
Li3 0.2795 0.2795 0.7205  2 O 1.87
Li4 0.7205 0.7205 0.2795  2 O 1.87
Li5 0.9705 0.5295 0.5295  2 O 1.87
Li6 0.9705 0.5295 0.9705  2 O 1.87
Li7 0.9705 0.9705 0.5295  2 O 1.87
Li8 0.5295 0.9705 0.5295  2 O 1.87
Li9 0.7205 0.2795 0.7205  2 O 1.87
Li10 0.5295 0.9705 0.9705  2 O 1.87
Li11 0.5295 0.5295 0.9705  2 O 1.87
Li12 0.2795 0.7205 0.2795  2 O 1.87
O1 0.6250 0.6250 0.1250  6 Li 1.87
O2 0.1250 0.6250 0.6250  6 Li 1.87
O3 0.6250 0.1250 0.6250  6 Li 1.87
O4 0.6250 0.6250 0.6250  6 Li 1.87

Record 9
Below is crystalline Li2OF at its relaxed geometry, with properties calculated at the PBE level.

Output
total moment: 1.00 μB per formula unit
E: -18.214 eV per formula unit

Cell: 4.9005 4.9005 4.9040 Å, 60.02 60.02 90.00°
Closest atoms and distances in Å follow each position.
Atoms (fractional coordinates):
Li1 0.8750 0.8942 0.7500  2 F 1.88, 2 O 2.00
Li2 0.6442 0.1250 0.2500  2 F 1.88, 2 O 2.00
Li3 0.3750 0.3558 0.7500  2 F 1.88, 2 O 2.00
Li4 0.1058 0.6250 0.2500  2 F 1.88, 2 O 2.00
F1 0.0000 0.0000 0.0000  4 Li 1.88
F2 0.7500 0.2500 0.5000  4 Li 1.88
O1 0.2500 0.7500 0.5000  4 Li 2.00
O2 0.5000 0.5000 0.0000  4 Li 2.00

Record 10
Below is crystalline LiOF5 at its relaxed geometry, with properties calculated at the PBE level.

Output
total moment: 0.00 μB per formula unit
E: -21.112 eV per formula unit

Cell: 5.2403 5.7730 7.8224 Å, 117.54 123.46 76.26°
Closest atoms and distances in Å follow each position.
Atoms (fractional coordinates):
F1 0.6596 0.6493 0.3575  1 O 1.71
F2 0.9180 0.8961 0.1464  1 O 1.87, 1 Li 1.93
F3 0.4317 0.1286 0.2610  1 F 1.66
F4 0.8721 0.4444 0.1139  1 O 1.40
F5 0.7736 0.2119 0.4923  1 F 1.66
F6 0.2264 0.7881 0.5077  1 F 1.66
F7 0.3404 0.3507 0.6425  1 O 1.71
F8 0.1279 0.5556 0.8861  1 O 1.40
F9 0.0820 0.1039 0.8536  1 O 1.87, 1 Li 1.93
F10 0.5683 0.8714 0.7390  1 F 1.66
O1 0.8295 0.6994 0.2432  1 F 1.40
O2 0.1705 0.3006 0.7568  1 F 1.40
Li1 0.5000 0.0000 0.5000  6 F 2.04-2.14
Li2 0.5000 0.0000 0.0000  4 F 1.93-2.03

Record 11
Below is crystalline LiOF2 at its relaxed geometry, with properties calculated at the PBE level.

Output
total moment: 3.00 μB per formula unit
E: -14.321 eV per formula unit

Cell: 4.4017 4.4017 5.9250 Å, 68.20 68.20 90.00°
Closest atoms and distances in Å follow each position.
Atoms (fractional coordinates):
F1 0.3750 0.4254 0.7500  2 Li 1.89
F2 0.5746 0.1250 0.2500  2 Li 1.89
F3 0.8750 0.8246 0.7500  2 Li 1.89
F4 0.1754 0.6250 0.2500  2 Li 1.89
O1 0.7500 0.2500 0.5000  4 F 2.13
O2 0.0000 0.0000 0.0000  4 F 2.13
Li1 0.5000 0.5000 0.0000  4 F 1.89
Li2 0.2500 0.7500 0.5000  4 F 1.89

Record 12
Below is crystalline Li2OF at its relaxed geometry, with properties calculated at the PBE level.

Output
total moment: 1.00 μB per formula unit
E: -17.283 eV per formula unit

Cell: 3.6310 3.6310 3.6310 Å, 60.00 60.00 60.00°
Closest atoms and distances in Å follow each position.
Atoms (fractional coordinates):
F1 0.5000 0.5000 0.5000  8 Li 2.22
O1 0.0000 0.0000 0.0000  8 Li 2.22
Li1 0.7500 0.7500 0.7500  4 O 2.22, 4 F 2.22
Li2 0.2500 0.2500 0.2500  4 F 2.22, 4 O 2.22

Record 13
Below is crystalline LiO2F8 at its relaxed geometry, with properties calculated at the PBE level.

Output
total moment: 3.00 μB per formula unit
E: -31.158 eV per formula unit

Cell: 6.9293 7.3143 7.8199 Å, 80.74 63.70 61.73°
Closest atoms and distances in Å follow each position.
Atoms (fractional coordinates):
F1 0.1478 0.0377 0.8133  1 Li 1.89, 1 O 2.07
F2 0.6703 0.8417 0.6123  1 O 1.41
F3 0.7792 0.1248 0.6585  1 Li 1.88, 1 F 2.00
F4 0.8757 0.3417 0.1123  1 O 1.41
F5 0.8522 0.9623 0.1867  1 Li 1.89, 1 O 2.07
F6 0.4376 0.6248 0.1585  1 Li 1.88, 1 F 2.00
F7 0.0012 0.5377 0.3133  1 Li 1.89, 1 O 2.07
F8 0.2775 0.2312 0.9908  1 O 1.42
F9 0.1243 0.6583 0.8877  1 O 1.41
F10 0.5624 0.3752 0.8415  1 Li 1.88, 1 F 2.00
F11 0.9988 0.4623 0.6867  1 Li 1.89, 1 O 2.07
F12 0.7225 0.7688 0.0092  1 O 1.42
F13 0.5005 0.7312 0.4908  1 O 1.42
F14 0.3297 0.1583 0.3877  1 O 1.41
F15 0.4995 0.2688 0.5092  1 O 1.42
F16 0.2208 0.8752 0.3415  1 Li 1.88, 1 F 2.00
Li1 0.9003 0.2500 0.7500  4 F 1.88-1.89
Li2 0.0997 0.7500 0.2500  4 F 1.88-1.89
O1 0.3181 0.3399 0.4412  2 F 1.41-1.42
O2 0.0992 0.1601 0.0588  2 F 1.41-1.42
O3 0.6819 0.6601 0.5588  2 F 1.41-1.42
O4 0.9008 0.8399 0.9412  2 F 1.41-1.42

Record 14
Below is crystalline LiOF2 at its relaxed geometry, with properties calculated at the PBE level.

Output
total moment: 3.00 μB per formula unit
E: -13.018 eV per formula unit

Cell: 6.2373 6.2373 6.2373 Å, 30.29 30.29 30.29°
Closest atoms and distances in Å follow each position.
Atoms (fractional coordinates):
O1 0.5000 0.5000 0.5000  6 F 2.27
Li1 0.0000 0.0000 0.0000  2 F 1.71
F1 0.9043 0.9043 0.9043  1 Li 1.71
F2 0.0957 0.0957 0.0957  1 Li 1.71

Record 15
Below is crystalline LiO2F at its relaxed geometry, with properties calculated at the PBE level.

Output
total moment: 2.00 μB per formula unit
E: -19.244 eV per formula unit

Cell: 3.2004 3.1859 9.5672 Å, 88.69 125.80 119.96°
Closest atoms and distances in Å follow each position.
Atoms (fractional coordinates):
O1 0.9421 0.8000 0.4789  1 O 1.23
O2 0.4169 0.5494 0.3182  1 O 1.23
Li1 0.6901 0.0251 0.8913  3 F 1.84
F1 0.3564 0.3580 0.8918  3 Li 1.84

Record 16
Below is crystalline Li3OF at its relaxed geometry, with properties calculated at the PBE level.

Output
total moment: 0.00 μB per formula unit
E: -23.211 eV per formula unit

Cell: 3.6770 3.6770 3.6770 Å, 90.00 90.00 90.00°
Closest atoms and distances in Å follow each position.
Atoms (fractional coordinates):
F1 0.5000 0.5000 0.5000  12 Li 2.60
Li1 0.5000 0.0000 0.0000  2 O 1.84
Li2 0.0000 0.5000 0.0000  2 O 1.84
Li3 0.0000 0.0000 0.5000  2 O 1.84
O1 0.0000 0.0000 0.0000  6 Li 1.84

Record 17
Below is crystalline Li12O3F5 at its relaxed geometry, with properties calculated at the PBE level.

Output
total moment: 0.00 μB per formula unit
E: -89.362 eV per formula unit

Cell: 10.1773 10.1773 10.1773 Å, 109.47 109.47 109.47°
Closest atoms and distances in Å follow each position.
Atoms (fractional coordinates):
Li1 0.4243 0.1452 0.5983  2 F 1.83-2.02
Li2 0.6740 0.4532 0.5983  2 F 1.83-2.02
Li3 0.4017 0.0468 0.3260  2 F 1.83-2.02
Li4 0.9243 0.0983 0.6452  2 F 1.83-2.02
Li5 0.3548 0.4017 0.0757  2 F 1.83-2.02
Li6 0.0757 0.1740 0.2208  2 F 1.83-2.02
Li7 0.7208 0.5757 0.1740  2 F 1.83-2.02
Li8 0.9017 0.8260 0.5468  2 F 1.83-2.02
Li9 0.0757 0.9017 0.3548  2 F 1.83-2.02
Li10 0.5468 0.3260 0.9017  2 F 1.83-2.02
Li11 0.3260 0.7792 0.4243  2 F 1.83-2.02
Li12 0.2792 0.4243 0.8260  2 F 1.83-2.02
Li13 0.0983 0.9243 0.1452  2 F 1.83-2.02
Li14 0.9017 0.0757 0.8548  2 F 1.83-2.02
Li15 0.5983 0.9532 0.6740  2 F 1.83-2.02
Li16 0.5983 0.6452 0.4243  2 F 1.83-2.02
Li17 0.4532 0.6740 0.0983  2 F 1.83-2.02
Li18 0.4017 0.3548 0.5757  2 F 1.83-2.02
Li19 0.4243 0.2792 0.3260  2 F 1.83-2.02
Li20 0.8260 0.9017 0.0468  2 F 1.83-2.02
Li21 0.7792 0.3260 0.9243  2 F 1.83-2.02
Li22 0.2208 0.5468 0.6452  2 F 1.83-2.02
Li23 0.8548 0.5757 0.9017  2 F 1.83-2.02
Li24 0.7792 0.4532 0.3548  2 F 1.83-2.02
Li25 0.9243 0.8260 0.7792  2 F 1.83-2.02
Li26 0.0468 0.4017 0.8260  2 F 1.83-2.02
Li27 0.2208 0.6740 0.0757  2 F 1.83-2.02
Li28 0.9532 0.3548 0.2792  2 F 1.83-2.02
Li29 0.8548 0.2792 0.4532  2 F 1.83-2.02
Li30 0.7208 0.1452 0.0468  2 F 1.83-2.02
Li31 0.5468 0.2208 0.1452  2 F 1.83-2.02
Li32 0.1452 0.7208 0.5468  2 F 1.83-2.02
Li33 0.5757 0.7208 0.6740  2 F 1.83-2.02
Li34 0.4532 0.7792 0.8548  2 F 1.83-2.02
Li35 0.0983 0.1740 0.4532  2 F 1.83-2.02
Li36 0.6452 0.5983 0.9243  2 F 1.83-2.02
Li37 0.3260 0.5468 0.4017  2 F 1.83-2.02
Li38 0.1740 0.0757 0.7208  2 F 1.83-2.02
Li39 0.5757 0.8548 0.4017  2 F 1.83-2.02
Li40 0.3548 0.9532 0.7792  2 F 1.83-2.02
Li41 0.2792 0.8548 0.9532  2 F 1.83-2.02
Li42 0.9532 0.5983 0.1740  2 F 1.83-2.02
Li43 0.1740 0.0983 0.9532  2 F 1.83-2.02
Li44 0.0468 0.6452 0.7208  2 F 1.83-2.02
Li45 0.8260 0.9243 0.2792  2 F 1.83-2.02
Li46 0.6452 0.0468 0.2208  2 F 1.83-2.02
Li47 0.1452 0.4243 0.0983  2 F 1.83-2.02
Li48 0.6740 0.2208 0.5757  2 F 1.83-2.02
O1 0.6250 0.2500 0.3750  8 Li 2.08-2.26
O2 0.8750 0.7500 0.1250  8 Li 2.08-2.26
O3 0.1250 0.8750 0.7500  8 Li 2.08-2.26
O4 0.7500 0.8750 0.6250  8 Li 2.08-2.26
O5 0.2500 0.1250 0.3750  8 Li 2.08-2.26
O6 0.2500 0.6250 0.8750  8 Li 2.08-2.26
O7 0.1250 0.2500 0.8750  8 Li 2.08-2.26
O8 0.3750 0.6250 0.2500  8 Li 2.08-2.26
O9 0.6250 0.3750 0.7500  8 Li 2.08-2.26
O10 0.3750 0.7500 0.6250  8 Li 2.08-2.26
O11 0.8750 0.1250 0.2500  8 Li 2.08-2.26
O12 0.7500 0.3750 0.1250  8 Li 2.08-2.26
F1 0.5000 0.5000 0.5000  6 Li 2.02
F2 0.2500 0.8750 0.1250  4 Li 1.83
F3 0.8750 0.6250 0.7500  4 Li 1.83
F4 0.0000 0.0000 0.5000  6 Li 2.02
F5 0.3750 0.1250 0.7500  4 Li 1.83
F6 0.6250 0.8750 0.2500  4 Li 1.83
F7 0.3750 0.2500 0.1250  4 Li 1.83
F8 0.5000 0.0000 0.5000  6 Li 2.02
F9 0.1250 0.7500 0.3750  4 Li 1.83
F10 0.7500 0.1250 0.8750  4 Li 1.83
F11 0.5000 0.0000 0.0000  6 Li 2.02
F12 0.0000 0.5000 0.5000  6 Li 2.02
F13 0.0000 0.5000 0.0000  6 Li 2.02
F14 0.6250 0.7500 0.8750  4 Li 1.83
F15 0.8750 0.2500 0.6250  4 Li 1.83
F16 0.0000 0.0000 0.0000  6 Li 2.02
F17 0.2500 0.3750 0.6250  4 Li 1.83
F18 0.7500 0.6250 0.3750  4 Li 1.83
F19 0.1250 0.3750 0.2500  4 Li 1.83
F20 0.5000 0.5000 0.0000  6 Li 2.02

Record 18
Below is crystalline LiOsOF2 at its relaxed geometry, with properties calculated at the PBE level.

Output
total moment: 4.17 μB per formula unit
E: -24.929 eV per formula unit

Cell: 3.4187 3.4187 4.2283 Å, 90.00 90.00 90.00°
Closest atoms and distances in Å follow each position.
Atoms (fractional coordinates):
F1 0.0000 0.5000 0.0000  2 Li 1.71
F2 0.5000 0.0000 0.0000  2 Li 1.71
Li1 0.0000 0.0000 0.0000  4 F 1.71
Os1 0.5000 0.5000 0.5000  4 O 2.42
O1 0.0000 0.0000 0.5000  2 Li 2.11

Record 19
Below is crystalline LiOsO2F at its relaxed geometry, with properties calculated at the PBE level.

Output
total moment: 0.56 μB per formula unit
E: -30.969 eV per formula unit

Cell: 3.7451 3.7451 4.9366 Å, 90.00 90.00 90.00°
Closest atoms and distances in Å follow each position.
Atoms (fractional coordinates):
O1 0.0000 0.5000 0.0000  2 Os 1.87
O2 0.5000 0.0000 0.0000  2 Os 1.87
Li1 0.5000 0.5000 0.5000  4 F 2.65
Os1 0.0000 0.0000 0.0000  4 O 1.87
F1 0.0000 0.0000 0.5000  2 Os 2.47, 4 Li 2.65

Record 20
Below is crystalline LiOsO2F at its relaxed geometry, with properties calculated at the PBE level.

Output
total moment: 2.90 μB per formula unit
E: -25.447 eV per formula unit

Cell: 3.7292 3.7292 3.2416 Å, 90.00 90.00 90.00°
Closest atoms and distances in Å follow each position.
Atoms (fractional coordinates):
Os1 0.5000 0.5000 0.5000  8 O 2.47, 4 F 2.64
O1 0.0000 0.5000 0.0000  2 Li 1.86
O2 0.5000 0.0000 0.0000  2 Li 1.86
F1 0.0000 0.0000 0.5000  2 Li 1.62
Li1 0.0000 0.0000 0.0000  2 F 1.62